# Rb2SrSiI6

A relaxed Rb2SrSiI6 crystal (PBE, Alexandria).

abc: 8.718 8.718 8.719
angles: 60.00 60.00 90.00
Atoms (fractional coordinates):
Si 0.500 0.500 0.000
I 0.738 0.738 0.524
I 0.738 0.738 0.000
I 0.262 0.738 0.000
I 0.262 0.262 0.000
I 0.738 0.262 0.000
I 0.262 0.262 0.476
Rb 0.750 0.250 0.500
Rb 0.250 0.750 0.500
Sr 0.000 0.000 0.000

Properties
* E: -29.0 eV/f.u.
* volume: 46.86 A^3/atom
* uncorrected formation energy: -1.06 eV/atom
* DOS at the Fermi energy: 0.000 states/eV per atom